Record 1
A plane-wave DFT calculation with PBE was carried out for crystalline U2AuS2N2 at its relaxed geometry.

a b c (Å): 3.7134 3.7134 12.1136
angles (deg): 90.00 90.00 120.00
Space group P-3m1 (No. 164)
Inequivalent atoms, fractional coordinates:
U1 0.3333 0.6667 0.2894 (multiplicity 2)
Au1 0.0000 0.0000 0.5000 (multiplicity 1)
S1 0.0000 0.0000 0.1557 (multiplicity 2)
N1 0.3333 0.6667 0.6751 (multiplicity 2)

Record 2
A plane-wave DFT calculation with PBE was carried out for crystalline WAuS2N at its relaxed geometry.

Output
Polymorph energy (0 for the lowest one), meV per atom: 1409

a b c (Å): 4.981 4.981 3.718
angles (deg): 90.00 90.00 90.00
Space group P4/mmm (No. 123)
Inequivalent atoms, fractional coordinates:
W1 0.000 0.000 0.000 (multiplicity 1)
Au1 0.500 0.500 0.500 (multiplicity 1)
S1 0.000 0.500 0.500 (multiplicity 2)
N1 0.500 0.500 0.000 (multiplicity 1)

Record 3
A plane-wave DFT calculation with PBE was carried out for crystalline WAuS2N at its relaxed geometry.

Output
Polymorph energy (0 for the lowest one), meV per atom: 0

a b c (Å): 4.826 4.826 3.811
angles (deg): 90.00 90.00 90.00
Space group P4/mmm (No. 123)
Inequivalent atoms, fractional coordinates:
W1 0.000 0.000 0.000 (multiplicity 1)
Au1 0.500 0.500 0.500 (multiplicity 1)
S1 0.000 0.500 0.000 (multiplicity 2)
N1 0.000 0.000 0.500 (multiplicity 1)

Record 4
A plane-wave DFT calculation with PBE was carried out for crystalline YAuSN2 at its relaxed geometry.

Output
Polymorph energy (0 for the lowest one), meV per atom: 291

a b c (Å): 4.462 4.462 5.469
angles (deg): 90.00 90.00 90.00
Space group P4/mmm (No. 123)
Inequivalent atoms, fractional coordinates:
Y1 0.000 0.000 0.000 (multiplicity 1)
Au1 0.500 0.500 0.500 (multiplicity 1)
S1 0.000 0.000 0.500 (multiplicity 1)
N1 0.000 0.500 0.000 (multiplicity 2)

Record 5
A plane-wave DFT calculation with PBE was carried out for crystalline YAuSN2 at its relaxed geometry.

Output
Polymorph energy (0 for the lowest one), meV per atom: 0

a b c (Å): 4.115 4.115 4.805
angles (deg): 90.00 90.00 90.00
Space group P4/mmm (No. 123)
Inequivalent atoms, fractional coordinates:
Y1 0.000 0.000 0.000 (multiplicity 1)
Au1 0.500 0.500 0.500 (multiplicity 1)
S1 0.500 0.500 0.000 (multiplicity 1)
N1 0.000 0.500 0.500 (multiplicity 2)

Record 6
A plane-wave DFT calculation with PBE was carried out for crystalline ZnAuS2N at its relaxed geometry.

Output
Polymorph energy (0 for the lowest one), meV per atom: 0

a b c (Å): 5.060 5.060 3.756
angles (deg): 90.00 90.00 90.00
Space group P4/mmm (No. 123)
Inequivalent atoms, fractional coordinates:
Zn1 0.000 0.000 0.000 (multiplicity 1)
Au1 0.500 0.500 0.500 (multiplicity 1)
S1 0.000 0.500 0.500 (multiplicity 2)
N1 0.500 0.500 0.000 (multiplicity 1)

Record 7
A plane-wave DFT calculation with PBE was carried out for crystalline ZnAuS2N at its relaxed geometry.

Output
Polymorph energy (0 for the lowest one), meV per atom: 77

a b c (Å): 4.862 4.862 3.642
angles (deg): 90.00 90.00 90.00
Space group P4/mmm (No. 123)
Inequivalent atoms, fractional coordinates:
Zn1 0.000 0.000 0.000 (multiplicity 1)
Au1 0.500 0.500 0.500 (multiplicity 1)
S1 0.000 0.500 0.000 (multiplicity 2)
N1 0.000 0.000 0.500 (multiplicity 1)

Record 8
A plane-wave DFT calculation with PBE was carried out for crystalline ZrAuSN2 at its relaxed geometry.

Output
Polymorph energy (0 for the lowest one), meV per atom: 519

a b c (Å): 4.055 4.055 4.693
angles (deg): 90.00 90.00 90.00
Space group P4/mmm (No. 123)
Inequivalent atoms, fractional coordinates:
Zr1 0.000 0.000 0.000 (multiplicity 1)
Au1 0.500 0.500 0.500 (multiplicity 1)
S1 0.500 0.500 0.000 (multiplicity 1)
N1 0.000 0.500 0.500 (multiplicity 2)

Record 9
A plane-wave DFT calculation with PBE was carried out for crystalline ZrAuS2N at its relaxed geometry.

Output
Polymorph energy (0 for the lowest one), meV per atom: 0

a b c (Å): 5.063 5.063 4.183
angles (deg): 90.00 90.00 90.00
Space group P4/mmm (No. 123)
Inequivalent atoms, fractional coordinates:
Zr1 0.000 0.000 0.000 (multiplicity 1)
Au1 0.500 0.500 0.500 (multiplicity 1)
S1 0.000 0.500 0.000 (multiplicity 2)
N1 0.000 0.000 0.500 (multiplicity 1)

Record 10
A plane-wave DFT calculation with PBE was carried out for crystalline ZrAuSN2 at its relaxed geometry.

Output
Polymorph energy (0 for the lowest one), meV per atom: 0

a b c (Å): 4.070 4.070 5.610
angles (deg): 90.00 90.00 90.00
Space group P4/mmm (No. 123)
Inequivalent atoms, fractional coordinates:
Zr1 0.000 0.000 0.000 (multiplicity 1)
Au1 0.500 0.500 0.500 (multiplicity 1)
S1 0.000 0.000 0.500 (multiplicity 1)
N1 0.000 0.500 0.000 (multiplicity 2)

no.,size of the total moment (μB per cell),formation energy without anion corrections (kJ/mol of formula units),V (Å³ per atom)
1,1.1,-626,20.67
2,3.1,865,18.45
3,0.0,185,17.75
4,4.0,472,21.78
5,0.0,332,16.27
6,0.0,549,19.23
7,0.0,586,17.22
8,0.0,551,15.43
9,1.8,103,21.44
10,0.0,300,18.58